(1)
Density functional theory data (PBE) for crystalline ScRe2As at its relaxed geometry.

## Properties
Formation energy from the elements: 0.026 eV per atom
Magnetization: 0.0000 μB/atom
Volume: 15.873 Å³/atom

Lattice parameters (Å, degrees): 3.191 4.315 9.222 90.00 90.00 90.00
Space group Imm2 (No. 44)
Unique sites:
Sc 0.000 0.000 0.000 [2 per cell]
Re 0.000 0.000 0.495 [2 per cell]
Re 0.000 0.500 0.235 [2 per cell]
As 0.000 0.500 0.769 [2 per cell]

=====

(2)
Density functional theory data (PBE) for crystalline GaCSe2 at its relaxed geometry.

## Properties
Formation energy (no corrections): 723.1 meV per atom
Magnetization: 0.0000 μB/atom
Volume: 27.796 Å³/atom

Lattice parameters (Å, degrees): 4.3916 4.3916 19.9705 90.00 90.00 120.00
Space group R-3m (No. 166, hexagonal axes)
Unique sites:
Ga 0.0000 0.0000 0.0000 [3 per cell]
C 0.0000 0.0000 0.5000 [3 per cell]
Se 0.0000 0.0000 0.4128 [6 per cell]

=====

Q: Among the records above, which one has the highest volume?
A: GaCSe2